(1)
Compound: GeRu2Se
Source: Alexandria via LeMat-Bulk
Functional: PBE
Structure: optimized geometry

Unit cell a=4.4019 b=4.4019 c=4.4019 alpha=60.00 beta=60.00 gamma=60.00
Positions (direct):
Ge 0.0000 0.0000 0.0000
Ru 0.2500 0.2500 0.2500
Ru 0.7500 0.7500 0.7500
Se 0.5000 0.5000 0.5000

Its excess energy over the best structure of this formula in the dataset is 0.0 meV per atom. As for the space group: Fm-3m, No. 225. For the total energy, the calculation gives -0.481 Ry/atom. As for the formation energy (no corrections): 0.48 eV/f.u.

=====

(2)
Compound: GeRu2Se
Source: Alexandria via LeMat-Bulk
Functional: PBE
Structure: optimized geometry

Unit cell a=6.8180 b=6.8180 c=6.8180 alpha=131.37 beta=131.37 gamma=71.22
Positions (direct):
Ge 0.0000 0.0000 0.0000
Ge 0.7500 0.2500 0.5000
Ru 0.1301 0.6250 0.0051
Ru 0.3750 0.3801 0.5051
Ru 0.6199 0.1250 0.9949
Ru 0.8750 0.8699 0.4949
Se 0.2500 0.7500 0.5000
Se 0.5000 0.5000 0.0000

Its excess energy over the best structure of this formula in the dataset is 169.5 meV per atom. As for the space group: I-42d, No. 122. For the total energy, the calculation gives -0.469 Ry/atom. As for the formation energy (no corrections): 1.15 eV/f.u.

=====

(3)
Compound: Ge3RuSe
Source: Alexandria via LeMat-Bulk
Functional: PBE
Structure: optimized geometry

Unit cell a=4.8808 b=4.8808 c=4.8808 alpha=90.00 beta=90.00 gamma=90.00
Positions (direct):
Ge 0.0000 0.0000 0.5000
Ge 0.0000 0.5000 0.0000
Ge 0.5000 0.0000 0.0000
Ru 0.0000 0.0000 0.0000
Se 0.5000 0.5000 0.5000

Its excess energy over the best structure of this formula in the dataset is 0.0 meV per atom. As for the space group: Pm-3m, No. 221. For the total energy, the calculation gives -0.389 Ry/atom. As for the formation energy (no corrections): 0.16 eV/f.u.